K3PmNp2Se6 (PBE, relaxed); magnetic moment = 8.00 Bohr magnetons per cell; formation energy from raw total energies = -1.419 eV per atom; electronic total energy = -5.9879 eV/atom
1.0
7.425 -0.001 0.000
-3.712 6.431 0.000
-1.238 -2.144 7.683
Se K Pm Np
6 3 1 2
direct
0.593 0.931 0.792
0.407 0.069 0.208
0.731 0.731 0.207
0.931 0.593 0.792
0.269 0.269 0.793
0.069 0.407 0.208
0.835 0.165 0.500
0.165 0.835 0.500
0.500 0.500 0.500
0.000 0.000 0.000
0.333 0.667 0.000
0.667 0.333 0.000

***

K4PmNp3Se8 (PBE, relaxed); magnetic moment = 12.00 Bohr magnetons per cell; formation energy from raw total energies = -1.381 eV per atom; electronic total energy = -6.1205 eV/atom
1.0
8.571 0.000 0.000
0.000 9.119 0.374
-4.286 -4.277 6.066
Se K Np Pm
8 4 3 1
direct
0.237 0.708 0.475
0.763 0.292 0.525
0.266 0.297 0.531
0.267 0.292 0.030
0.763 0.292 0.030
0.237 0.708 0.970
0.733 0.708 0.970
0.734 0.703 0.469
0.000 0.000 0.500
0.500 0.000 0.500
0.000 0.000 0.000
0.500 0.000 0.000
0.000 0.500 0.500
0.500 0.500 0.000
0.500 0.500 0.500
0.000 0.500 0.000

***

K3Pm2NpSe6 (PBE, relaxed); magnetic moment = 4.00 Bohr magnetons per cell; formation energy from raw total energies = -1.583 eV per atom; electronic total energy = -5.4698 eV/atom
1.0
7.467 0.002 0.002
-3.730 6.469 0.002
-1.244 -2.154 7.689
K Se Pm Np
3 6 2 1
direct
0.168 0.832 0.500
0.500 0.500 0.500
0.832 0.168 0.500
0.739 0.739 0.210
0.261 0.261 0.790
0.400 0.070 0.209
0.600 0.930 0.791
0.070 0.400 0.209
0.930 0.600 0.791
0.334 0.666 0.000
0.666 0.334 0.000
0.000 0.000 0.000

***

K3Pm3NpSe8 (PBE, relaxed); magnetic moment = 3.00 Bohr magnetons per cell; formation energy from raw total energies = -1.618 eV per atom; electronic total energy = -5.5091 eV/atom
1.0
-3.751 -6.866 -3.465
7.837 2.326 -2.526
-0.849 -3.770 8.389
Se Pm K Np
8 3 3 1
direct
0.255 0.027 0.299
0.264 0.527 0.291
0.772 0.543 0.299
0.228 0.973 0.701
0.745 0.973 0.701
0.772 0.027 0.299
0.228 0.457 0.701
0.736 0.473 0.709
0.500 0.000 0.500
0.500 0.500 0.500
0.000 0.500 0.500
0.000 0.500 0.000
0.000 0.000 0.000
0.500 0.500 0.000
0.000 0.000 0.500

***

K3Pm2NpTe6 (PBE, relaxed); magnetic moment = 4.00 Bohr magnetons per cell; formation energy from raw total energies = -1.236 eV per atom; electronic total energy = -4.9514 eV/atom
1.0
7.951 -0.004 -0.001
-3.977 6.885 -0.001
-1.326 -2.297 8.242
Pm K Te Np
2 3 6 1
direct
0.333 0.667 0.000
0.667 0.333 0.000
0.500 0.500 0.500
0.832 0.168 0.500
0.168 0.832 0.500
0.403 0.070 0.213
0.070 0.403 0.213
0.597 0.930 0.787
0.261 0.261 0.787
0.739 0.739 0.213
0.930 0.597 0.787
0.000 0.000 0.000

***

K3Pm3NpTe8 (PBE, relaxed); magnetic moment = 3.00 Bohr magnetons per cell; formation energy from raw total energies = -1.241 eV per atom; electronic total energy = -4.9485 eV/atom
1.0
-7.230 -4.990 2.281
4.558 -1.838 -7.630
4.339 -2.374 8.562
Te K Pm Np
8 3 3 1
direct
0.232 0.975 0.707
0.743 0.975 0.707
0.768 0.025 0.293
0.257 0.025 0.293
0.738 0.476 0.714
0.768 0.536 0.293
0.232 0.464 0.707
0.262 0.524 0.286
0.000 0.500 0.000
0.000 0.000 0.000
0.500 0.500 0.000
0.500 0.500 0.500
0.000 0.500 0.500
0.500 0.000 0.500
0.000 0.000 0.500

***

KPr2NpS5 (PBE, relaxed); magnetic moment = 3.98 Bohr magnetons per cell; formation energy from raw total energies = -1.654 eV per atom; electronic total energy = -6.5693 eV/atom
1.0
-0.153 3.462 3.649
-6.691 1.831 -2.017
0.759 -7.466 3.645
Pr S Np K
2 5 1 1
direct
0.206 0.206 0.412
0.794 0.794 0.588
0.349 0.084 0.698
0.651 0.386 0.302
0.651 0.916 0.302
0.000 0.000 0.000
0.349 0.614 0.698
0.500 0.000 0.000
0.000 0.500 0.000

***

K2Pr2NpS6 (PBE, relaxed); magnetic moment = 3.00 Bohr magnetons per cell; formation energy from raw total energies = -1.676 eV per atom; electronic total energy = -6.1728 eV/atom
1.0
7.181 0.004 0.071
-3.546 6.244 0.071
-1.291 -2.220 7.458
S Np Pr K
6 1 2 2
direct
0.384 0.063 0.698
0.754 0.754 0.698
0.937 0.616 0.302
0.246 0.246 0.302
0.616 0.937 0.302
0.063 0.384 0.698
0.000 0.000 0.500
0.666 0.334 0.500
0.334 0.666 0.500
0.831 0.169 0.000
0.169 0.831 0.000

***

K3Pr3NpS8 (PBE, relaxed); magnetic moment = 3.00 Bohr magnetons per cell; formation energy from raw total energies = -1.725 eV per atom; electronic total energy = -5.9647 eV/atom
1.0
8.372 0.000 0.000
-4.186 7.249 -0.028
0.000 -4.807 7.498
S Pr K Np
8 3 3 1
direct
0.250 0.027 0.303
0.776 0.027 0.303
0.224 0.973 0.697
0.264 0.528 0.292
0.776 0.553 0.303
0.736 0.472 0.708
0.750 0.973 0.697
0.224 0.447 0.697
0.500 0.000 0.500
0.500 0.500 0.500
0.000 0.500 0.500
0.500 0.500 0.000
0.000 0.500 0.000
0.000 0.000 0.000
0.000 0.000 0.500

***

K3Pr2NpS6 (PBE, relaxed); magnetic moment = 4.00 Bohr magnetons per cell; formation energy from raw total energies = -1.678 eV per atom; electronic total energy = -5.8915 eV/atom
1.0
7.266 -0.001 0.001
-3.632 6.293 0.001
-1.211 -2.097 7.389
Pr S K Np
2 6 3 1
direct
0.666 0.334 0.000
0.334 0.666 0.000
0.744 0.744 0.207
0.931 0.605 0.793
0.605 0.931 0.793
0.395 0.069 0.207
0.069 0.395 0.207
0.256 0.256 0.793
0.500 0.500 0.500
0.832 0.168 0.500
0.168 0.832 0.500
0.000 0.000 0.000

***

K3Pr3NpSe8 (PBE, relaxed); magnetic moment = 3.00 Bohr magnetons per cell; formation energy from raw total energies = -1.609 eV per atom; electronic total energy = -5.5051 eV/atom
1.0
-4.857 -5.959 3.999
8.526 0.361 1.505
-5.315 6.715 3.551
Se Pr Np K
8 3 1 3
direct
0.227 0.453 0.702
0.737 0.475 0.712
0.251 0.025 0.298
0.227 0.975 0.702
0.773 0.547 0.298
0.263 0.525 0.288
0.773 0.025 0.298
0.749 0.975 0.702
0.000 0.500 0.500
0.500 0.500 0.500
0.500 0.000 0.500
0.000 0.000 0.500
0.000 0.000 0.000
0.000 0.500 0.000
0.500 0.500 0.000

***

K4Pr3NpSe8 (PBE, relaxed); magnetic moment = 4.00 Bohr magnetons per cell; formation energy from raw total energies = -1.619 eV per atom; electronic total energy = -5.3408 eV/atom
1.0
-3.347 -7.838 -1.865
2.013 -2.884 8.507
-4.903 7.162 -0.893
Pr Se K Np
3 8 4 1
direct
0.500 0.500 0.500
0.500 0.500 0.000
0.000 0.500 0.500
0.742 0.710 0.976
0.262 0.286 0.524
0.766 0.290 0.024
0.234 0.710 0.976
0.258 0.290 0.024
0.738 0.714 0.476
0.766 0.290 0.532
0.234 0.710 0.468
0.500 0.000 0.500
0.500 0.000 0.000
0.000 0.000 0.500
0.000 0.000 0.000
0.000 0.500 0.000

***

K2PrNpSe4 (PBE, relaxed); magnetic moment = 4.00 Bohr magnetons per cell; formation energy from raw total energies = -1.494 eV per atom; electronic total energy = -5.7256 eV/atom
1.0
4.339 0.000 0.000
0.000 7.502 0.120
0.000 -2.639 7.647
K Pr Se Np
2 1 4 1
direct
0.000 0.500 0.500
0.500 0.000 0.500
0.000 0.000 0.000
0.500 0.757 0.788
0.000 0.729 0.207
0.500 0.243 0.212
0.000 0.271 0.793
0.500 0.500 0.000

***

K3Pr3NpTe8 (PBE, relaxed); magnetic moment = 3.00 Bohr magnetons per cell; formation energy from raw total energies = -1.240 eV per atom; electronic total energy = -4.9541 eV/atom
1.0
-3.531 2.403 -8.125
-5.567 -1.790 7.075
5.171 8.458 0.254
Te Np K Pr
8 1 3 3
direct
0.770 0.022 0.292
0.739 0.478 0.717
0.747 0.978 0.708
0.230 0.461 0.708
0.230 0.978 0.708
0.770 0.539 0.292
0.261 0.522 0.283
0.253 0.022 0.292
0.000 0.000 0.500
0.000 0.500 0.000
0.000 0.000 0.000
0.500 0.500 0.000
0.500 0.500 0.500
0.000 0.500 0.500
0.500 0.000 0.500

***

K2PrNpTe4 (PBE, relaxed); magnetic moment = 4.00 Bohr magnetons per cell; formation energy from raw total energies = -1.149 eV per atom; electronic total energy = -5.2095 eV/atom
1.0
-1.933 4.126 0.690
-5.521 -3.375 4.715
6.695 2.307 4.960
Te K Np Pr
4 2 1 1
direct
0.000 0.258 0.785
0.000 0.742 0.215
0.500 0.232 0.211
0.500 0.768 0.789
0.000 0.500 0.500
0.500 0.000 0.500
0.000 0.000 0.000
0.500 0.500 0.000

***

KNpPt4 (PBE, relaxed); E_form = -214 kJ/mol of formula units; magnetic moment = 3.92 Bohr magnetons per cell; electronic total energy = -6.7369 eV/atom
1.0
5.480 0.000 0.000
2.740 4.746 0.000
2.740 1.582 4.475
K Pt Np
1 4 1
direct
0.250 0.250 0.250
0.625 0.625 0.625
0.625 0.625 0.125
0.625 0.125 0.625
0.125 0.625 0.625
0.000 0.000 0.000

***

KNp2PtS4 (PBE, relaxed); magnetic moment = 14.01 Bohr magnetons per cell; formation energy from raw total energies = -1.198 eV per atom; electronic total energy = -7.3895 eV/atom
1.0
4.009 0.000 0.000
-2.005 6.708 0.000
0.000 0.000 13.765
S Pt Np K
8 2 4 2
direct
0.736 0.472 0.896
0.736 0.472 0.604
0.564 0.129 0.250
0.264 0.528 0.104
0.436 0.871 0.750
0.000 0.000 0.000
0.264 0.528 0.396
0.000 0.000 0.500
0.838 0.675 0.750
0.162 0.325 0.250
0.633 0.265 0.435
0.367 0.735 0.565
0.367 0.735 0.935
0.633 0.265 0.065
0.112 0.224 0.750
0.888 0.776 0.250

***

K4Np3PtS8 (PBE, relaxed); magnetic moment = 3.50 Bohr magnetons per cell; formation energy from raw total energies = -1.165 eV per atom; electronic total energy = -6.3067 eV/atom
1.0
-7.506 1.063 1.650
0.060 -7.159 4.885
5.308 5.982 2.053
K S Np Pt
4 8 3 1
direct
0.000 0.000 0.500
0.500 0.000 0.000
0.000 0.000 0.000
0.500 0.000 0.500
0.801 0.323 0.047
0.199 0.677 0.953
0.728 0.270 0.455
0.246 0.323 0.047
0.754 0.677 0.953
0.727 0.702 0.453
0.273 0.298 0.547
0.272 0.730 0.545
0.500 0.500 0.500
0.000 0.500 0.500
0.500 0.500 0.000
0.000 0.500 0.000

***

K3Np2PtS6 (PBE, relaxed); magnetic moment = 6.79 Bohr magnetons per cell; formation energy from raw total energies = -1.081 eV per atom; electronic total energy = -6.0791 eV/atom
1.0
-0.749 -2.682 -6.286
3.920 -3.043 4.759
-6.865 -2.044 2.835
K S Np Pt
3 6 2 1
direct
0.160 0.840 0.500
0.500 0.500 0.500
0.840 0.160 0.500
0.588 0.932 0.793
0.248 0.248 0.816
0.068 0.412 0.207
0.752 0.752 0.184
0.412 0.068 0.207
0.932 0.588 0.793
0.668 0.332 0.000
0.332 0.668 0.000
0.000 0.000 0.000

***

KNpPtS2 (PBE, relaxed); magnetic moment = 7.92 Bohr magnetons per cell; formation energy from raw total energies = -1.003 eV per atom; electronic total energy = -6.6698 eV/atom
1.0
-1.839 1.916 -3.937
1.041 -6.618 -3.708
-6.936 -0.947 2.780
Pt S K Np
2 4 2 2
direct
0.000 0.000 0.000
0.000 0.000 0.500
0.307 0.755 0.456
0.693 0.755 0.956
0.307 0.245 0.044
0.693 0.245 0.544
0.816 0.500 0.250
0.184 0.500 0.750
0.492 0.000 0.250
0.508 0.000 0.750